Entry 1:
{"formula": "ZrMoP2", "functional": "SCAN", "state": "PBEsol geometry", "de_polymorph_mev_per_atom": 1009, "delta_e_f_ev_per_fu": 0.08, "space_group": "No. 216", "e_tot_ev_per_atom": -21.58, "cell": [[-3.6255, -1.9849, 1.5731], [0.0942, -4.3072, 0.9989], [-0.1553, -1.2937, 4.2262]], "species": ["P", "P", "Zr", "Mo"], "frac_coords": [[0.0000, 0.0000, 0.0000], [0.7500, 0.7500, 0.7500], [0.2500, 0.2500, 0.2500], [0.5000, 0.5000, 0.5000]]}


Entry 2:
{"formula": "TeRu2", "functional": "SCAN", "state": "PBEsol geometry", "de_polymorph_mev_per_atom": 152, "space_group": "No. 63", "e_tot_ev_per_atom": -35.17, "raw_formation_energy_ev_per_atom": 0.463, "cell": [[2.9956, 0.0000, 0.0000], [0.0000, 4.1740, 0.0000], [-1.4978, 0.0000, 7.6325]], "species": ["Ru", "Ru", "Ru", "Ru", "Te", "Te"], "frac_coords": [[0.7816, 0.7500, 0.5632], [0.5642, 0.2500, 0.1284], [0.2184, 0.2500, 0.4368], [0.4358, 0.7500, 0.8716], [0.1107, 0.7500, 0.2214], [0.8893, 0.2500, 0.7786]]}


Entry 3:
{"formula": "Sr2FeCo", "functional": "SCAN", "state": "PBEsol geometry", "delta_e_f_ev_per_fu": 1.75, "space_group": "No. 38", "e_tot_ev_per_atom": -19.56, "cell": [[-3.7328, -0.1906, 1.0043], [1.2071, -0.3779, 4.4146], [-0.7521, 5.8769, -1.6798]], "species": ["Sr", "Sr", "Fe", "Co"], "frac_coords": [[0.5000, 0.3895, 0.7790], [0.0000, 0.1105, 0.2210], [0.5000, 0.7034, 0.4068], [0.0000, 0.7992, 0.5984]]}


Entry 4:
{"formula": "LiNiP3O9", "functional": "SCAN", "state": "PBEsol geometry", "de_polymorph_mev_per_atom": 53, "space_group": "No. 146", "e_tot_ev_per_atom": -9.84, "raw_formation_energy_ev_per_atom": -2.277, "cell": [[6.1678, 0.0053, 0.0082], [-1.8069, 5.8972, 0.0082], [-1.8069, -2.4456, 5.3662]], "species": ["Li", "P", "P", "P", "O", "O", "O", "O", "O", "O", "O", "O", "O", "Ni"], "frac_coords": [[0.3639, 0.3639, 0.3639], [0.4892, 0.0379, 0.9105], [0.9105, 0.4892, 0.0379], [0.0379, 0.9105, 0.4892], [0.9678, 0.6488, 0.9036], [0.9036, 0.9678, 0.6488], [0.8685, 0.6356, 0.2762], [0.2762, 0.8685, 0.6356], [0.6488, 0.9036, 0.9678], [0.3757, 0.1237, 0.0861], [0.0861, 0.3757, 0.1237], [0.6356, 0.2762, 0.8685], [0.1237, 0.0861, 0.3757], [0.9984, 0.9984, 0.9984]]}


Entry 5:
{"formula": "Cd2InCuSe4", "functional": "SCAN", "state": "PBEsol geometry", "space_group": "No. 8", "e_tot_ev_per_atom": -24.29, "raw_formation_energy_ev_per_atom": -0.569, "cell": [[-3.5099, -2.0181, -1.0619], [0.1063, -3.5137, 6.3263], [-2.0488, 7.7927, 0.2114]], "species": ["In", "Cd", "Cd", "Cu", "Se", "Se", "Se", "Se"], "frac_coords": [[0.7513, 0.4047, 0.5027], [0.4983, 0.8173, 0.9965], [0.9956, 0.3448, 0.9912], [0.2521, 0.9314, 0.5042], [0.5618, 0.2270, 0.1237], [0.0769, 0.7477, 0.1538], [0.3057, 0.6619, 0.6114], [0.8056, 0.1152, 0.6113]]}


Entry 6:
{"formula": "TaOsBr4", "functional": "SCAN", "state": "PBEsol geometry", "space_group": "No. 216", "e_tot_ev_per_atom": -33.87, "raw_formation_energy_ev_per_atom": 2.175, "cell": [[-1.3829, 4.9704, -2.3665], [-5.4315, 1.6365, -0.1958], [-1.7898, 4.2924, 3.2542]], "species": ["Br", "Br", "Br", "Br", "Os", "Ta"], "frac_coords": [[0.3751, 0.8747, 0.3751], [0.3751, 0.3751, 0.3751], [0.3751, 0.3751, 0.8747], [0.8747, 0.3751, 0.3751], [0.7500, 0.7500, 0.7500], [0.0000, 0.0000, 0.0000]]}


Entry 7:
{"formula": "LaTl2Ag", "functional": "SCAN", "state": "PBEsol geometry", "delta_e_f_ev_per_fu": -1.26, "space_group": "No. 123", "e_tot_ev_per_atom": -55.11, "cell": [[4.6613, 0.0000, 0.0000], [0.0000, 4.6605, 0.0000], [0.0000, 0.0000, 4.7033]], "species": ["Tl", "Tl", "Ag", "La"], "frac_coords": [[0.5000, 0.5000, 0.0000], [0.0000, 0.0000, 0.0000], [0.5000, 0.0000, 0.5000], [0.0000, 0.5000, 0.5000]]}


Entry 8:
{"formula": "CoTc2Pt", "functional": "SCAN", "state": "PBEsol geometry", "de_polymorph_mev_per_atom": 51, "delta_e_f_ev_per_fu": 0.11, "space_group": "No. 8", "e_tot_ev_per_atom": -39.38, "cell": [[-1.7188, 1.4622, 1.3392], [-1.9626, -0.9858, -4.0136], [-1.3432, -3.7754, 2.3983]], "species": ["Tc", "Tc", "Pt", "Co"], "frac_coords": [[0.2437, 0.4875, 0.7415], [0.0006, 0.0012, 0.9884], [0.7505, 0.5010, 0.2557], [0.5052, 0.0103, 0.5144]]}


Entry 9:
{"formula": "ScMoOs2", "functional": "SCAN", "state": "PBEsol geometry", "delta_e_f_ev_per_fu": 0.04, "space_group": "No. 216", "e_tot_ev_per_atom": -48.21, "cell": [[-2.4487, -2.7923, 2.3726], [0.9073, -4.3124, -0.0458], [1.7024, -1.9317, 3.5767]], "species": ["Os", "Os", "Mo", "Sc"], "frac_coords": [[0.0000, 0.0000, 0.0000], [0.7500, 0.7500, 0.7500], [0.5000, 0.5000, 0.5000], [0.2500, 0.2500, 0.2500]]}


Entry 10:
{"formula": "TlCr2W", "functional": "SCAN", "state": "PBEsol geometry", "de_polymorph_mev_per_atom": 0, "delta_e_f_ev_per_fu": 1.48, "space_group": "No. 123", "e_tot_ev_per_atom": -44.33, "cell": [[3.1079, 0.0000, 0.0000], [0.0000, 3.1079, 0.0000], [0.0000, 0.0000, 6.2873]], "species": ["Cr", "Cr", "W", "Tl"], "frac_coords": [[0.0000, 0.0000, 0.7177], [0.0000, 0.0000, 0.2823], [0.5000, 0.5000, 0.5000], [0.5000, 0.5000, 0.0000]]}


Entry 11:
{"formula": "ZrTe3Ir", "functional": "SCAN", "state": "PBEsol geometry", "space_group": "No. 221", "e_tot_ev_per_atom": -42.29, "raw_formation_energy_ev_per_atom": 0.421, "cell": [[-1.0369, 1.6143, -4.7503], [-3.0940, -4.0243, -0.6922], [-3.9495, 2.7287, 1.7894]], "species": ["Ir", "Te", "Te", "Te", "Zr"], "frac_coords": [[0.0000, 0.0000, 0.0000], [0.5000, 0.0000, 0.0000], [0.0000, 0.0000, 0.5000], [0.0000, 0.5000, 0.0000], [0.5000, 0.5000, 0.5000]]}


Entry 12:
{"formula": "TaGa3", "functional": "SCAN", "state": "PBEsol geometry", "delta_e_f_ev_per_fu": -0.94, "space_group": "No. 139", "e_tot_ev_per_atom": -29.14, "cell": [[-2.4986, 1.9484, -2.0517], [-0.8535, -3.1286, -1.9317], [-1.4060, -0.3407, 4.8610]], "species": ["Ga", "Ga", "Ga", "Ta"], "frac_coords": [[0.7500, 0.2500, 0.5000], [0.2500, 0.7500, 0.5000], [0.5000, 0.5000, 0.0000], [0.0000, 0.0000, 0.0000]]}


Entry 13:
{"formula": "Cr2NiHgMo", "functional": "SCAN", "state": "PBEsol geometry", "delta_e_f_ev_per_fu": 6.31, "space_group": "No. 123", "e_tot_ev_per_atom": -29.94, "cell": [[-4.0555, -1.8475, 0.6208], [1.0018, -3.2069, -2.9992], [1.6739, -2.5651, 3.3018]], "species": ["Mo", "Hg", "Cr", "Cr", "Ni"], "frac_coords": [[0.0000, 0.0000, 0.0000], [0.5000, 0.5000, 0.5000], [0.0000, 0.0000, 0.5000], [0.0000, 0.5000, 0.0000], [0.5000, 0.0000, 0.0000]]}


Entry 14:
{"formula": "Cd4InAu", "functional": "SCAN", "state": "PBEsol geometry", "delta_e_f_ev_per_fu": 0.71, "space_group": "No. 216", "e_tot_ev_per_atom": -37.25, "cell": [[5.6493, 0.0000, 0.0000], [2.8247, 4.8924, 0.0000], [2.8247, 1.6308, 4.6126]], "species": ["Cd", "Cd", "Cd", "Cd", "In", "Au"], "frac_coords": [[0.3746, 0.8763, 0.3746], [0.3746, 0.3746, 0.8763], [0.8763, 0.3746, 0.3746], [0.3746, 0.3746, 0.3746], [0.7500, 0.7500, 0.7500], [0.0000, 0.0000, 0.0000]]}


Entry 15:
{"formula": "HoTl3", "functional": "SCAN", "state": "PBEsol geometry", "delta_e_f_ev_per_fu": -1.26, "space_group": "No. 221", "e_tot_ev_per_atom": -66.83, "cell": [[-4.3646, -1.0423, 1.2065], [-0.0746, -3.3790, -3.1889], [1.5926, -3.0147, 3.1571]], "species": ["Tl", "Tl", "Tl", "Ho"], "frac_coords": [[0.5000, 0.5000, 0.0000], [0.5000, 0.0000, 0.5000], [0.0000, 0.5000, 0.5000], [0.0000, 0.0000, 0.0000]]}


Entry 16:
{"formula": "TiOsRh2O", "functional": "SCAN", "state": "PBEsol geometry", "space_group": "No. 123", "e_tot_ev_per_atom": -30.53, "raw_formation_energy_ev_per_atom": 1.808, "cell": [[4.4618, 0.0000, 0.0000], [0.0000, 4.4618, 0.0000], [0.0000, 0.0000, 4.5654]], "species": ["O", "Rh", "Rh", "Ti", "Os"], "frac_coords": [[0.5000, 0.5000, 0.5000], [0.5000, 0.0000, 0.0000], [0.0000, 0.5000, 0.0000], [0.0000, 0.0000, 0.0000], [0.0000, 0.0000, 0.5000]]}


Entry 17:
{"formula": "InSiCl", "functional": "SCAN", "state": "PBEsol geometry", "space_group": "No. 216", "e_tot_ev_per_atom": -16.72, "raw_formation_energy_ev_per_atom": 0.406, "cell": [[4.6734, 0.0000, 0.0000], [2.3367, 4.0473, 0.0000], [2.3367, 1.3491, 3.8158]], "species": ["Si", "In", "Cl"], "frac_coords": [[0.2500, 0.2500, 0.2500], [0.5000, 0.5000, 0.5000], [0.0000, 0.0000, 0.0000]]}


Entry 18:
{"formula": "RbSr2GaAg", "functional": "SCAN", "state": "PBEsol geometry", "delta_e_f_ev_per_fu": -0.15, "space_group": "No. 123", "e_tot_ev_per_atom": -22.63, "cell": [[4.9844, 0.0000, 0.0000], [0.0000, 6.1876, 0.0000], [0.0000, 0.0000, 6.1876]], "species": ["Ga", "Sr", "Sr", "Rb", "Ag"], "frac_coords": [[0.5000, 0.0000, 0.0000], [0.0000, 0.0000, 0.5000], [0.0000, 0.5000, 0.0000], [0.5000, 0.5000, 0.5000], [0.0000, 0.0000, 0.0000]]}


Entry 19:
{"formula": "La2YSc", "functional": "SCAN", "state": "PBEsol geometry", "de_polymorph_mev_per_atom": 16, "delta_e_f_ev_per_fu": 0.25, "space_group": "No. 25", "e_tot_ev_per_atom": -32.01, "cell": [[-3.4993, -0.3228, -0.3898], [0.6557, -1.4222, -4.7080], [0.3799, -6.5864, 2.0425]], "species": ["Y", "La", "La", "Sc"], "frac_coords": [[0.0000, 0.5000, 0.7387], [0.0000, 0.5000, 0.2550], [0.5000, 0.0000, 0.0014], [0.5000, 0.0000, 0.5048]]}


Entry 20:
{"formula": "Zr2FeSb", "functional": "SCAN", "state": "PBEsol geometry", "space_group": "No. 99", "e_tot_ev_per_atom": -29.40, "raw_formation_energy_ev_per_atom": -0.205, "cell": [[-2.8973, 0.4274, -2.0842], [1.8672, -1.1772, -2.8370], [-1.7014, -5.6206, 1.2124]], "species": ["Fe", "Sb", "Zr", "Zr"], "frac_coords": [[0.0000, 0.0000, 0.4982], [0.5000, 0.5000, 0.7462], [0.5000, 0.5000, 0.2688], [0.0000, 0.0000, 0.9867]]}


Entry 21:
{"formula": "CrN2", "functional": "SCAN", "state": "PBEsol geometry", "space_group": "No. 187", "e_tot_ev_per_atom": -12.75, "raw_formation_energy_ev_per_atom": -0.426, "cell": [[-2.5438, -0.7589, -0.3892], [1.7040, -1.6273, 1.2833], [-0.9497, 1.5371, 3.2101]], "species": ["N", "N", "Cr"], "frac_coords": [[0.3333, 0.6667, 0.1828], [0.3333, 0.6667, 0.8172], [0.0000, 0.0000, 0.5000]]}


Entry 22:
{"formula": "InPb4", "functional": "SCAN", "state": "PBEsol geometry", "de_polymorph_mev_per_atom": 119, "delta_e_f_ev_per_fu": 0.71, "space_group": "No. 139", "e_tot_ev_per_atom": -67.16, "cell": [[4.5174, 0.0000, 0.0000], [0.0000, 4.5174, 0.0000], [-2.2587, -2.2587, 7.8378]], "species": ["Pb", "Pb", "Pb", "Pb", "In"], "frac_coords": [[0.4017, 0.4017, 0.8033], [0.2500, 0.7500, 0.5000], [0.7500, 0.2500, 0.5000], [0.5983, 0.5983, 0.1967], [0.0000, 0.0000, 0.0000]]}


Entry 23:
{"formula": "Mg5In", "functional": "SCAN", "state": "PBEsol geometry", "delta_e_f_ev_per_fu": -0.52, "space_group": "No. 65", "e_tot_ev_per_atom": -9.80, "cell": [[4.4672, 0.0000, 0.0000], [0.0000, 4.4840, 0.0000], [-2.2336, 0.0000, 6.6688]], "species": ["Mg", "Mg", "Mg", "Mg", "Mg", "In"], "frac_coords": [[0.8355, 0.0000, 0.6710], [0.3335, 0.5000, 0.6671], [0.0000, 0.5000, 0.0000], [0.1645, 0.0000, 0.3290], [0.6665, 0.5000, 0.3329], [0.5000, 0.0000, 0.0000]]}


Entry 24:
{"formula": "BaSc2Cl", "functional": "SCAN", "state": "PBEsol geometry", "de_polymorph_mev_per_atom": 2, "space_group": "No. 35", "e_tot_ev_per_atom": -19.53, "raw_formation_energy_ev_per_atom": -0.533, "cell": [[-0.4988, 2.6380, -2.1493], [2.0462, -2.4466, -1.2865], [-7.9598, -4.6362, -3.8432]], "species": ["Cl", "Sc", "Sc", "Ba"], "frac_coords": [[0.5000, 0.5000, 0.2123], [0.0000, 0.0000, 0.0240], [0.5000, 0.5000, 0.7890], [0.0000, 0.0000, 0.4747]]}


Entry 25:
{"formula": "Mg3BeBr", "functional": "SCAN", "state": "PBEsol geometry", "space_group": "No. 221", "e_tot_ev_per_atom": -7.72, "raw_formation_energy_ev_per_atom": 0.028, "cell": [[-3.4608, 1.8249, -2.9229], [1.7431, -2.6463, -3.7161], [-2.9724, -3.6766, 1.2240]], "species": ["Be", "Mg", "Mg", "Mg", "Br"], "frac_coords": [[0.0000, 0.0000, 0.0000], [0.0000, 0.5000, 0.0000], [0.5000, 0.0000, 0.0000], [0.0000, 0.0000, 0.5000], [0.5000, 0.5000, 0.5000]]}


Entry 26:
{"formula": "CsRbYOs2", "functional": "SCAN", "state": "PBEsol geometry", "delta_e_f_ev_per_fu": 8.66, "space_group": "No. 123", "e_tot_ev_per_atom": -44.30, "cell": [[-1.3525, -1.1663, 4.7091], [-1.5249, -4.5387, -1.5621], [5.6088, -2.2472, 1.0543]], "species": ["Os", "Os", "Y", "Cs", "Rb"], "frac_coords": [[0.0000, 0.5000, 0.0000], [0.5000, 0.0000, 0.0000], [0.0000, 0.0000, 0.0000], [0.0000, 0.0000, 0.5000], [0.5000, 0.5000, 0.5000]]}


Entry 27:
{"formula": "FeReTcOs2", "functional": "SCAN", "state": "PBEsol geometry", "delta_e_f_ev_per_fu": 9.28, "space_group": "No. 123", "e_tot_ev_per_atom": -51.75, "cell": [[-0.9618, -4.1849, 0.1903], [3.1832, -0.6034, 2.8181], [-2.7171, 0.7715, 3.2343]], "species": ["Fe", "Os", "Os", "Tc", "Re"], "frac_coords": [[0.0000, 0.0000, 0.0000], [0.0000, 0.5000, 0.0000], [0.0000, 0.0000, 0.5000], [0.5000, 0.5000, 0.5000], [0.5000, 0.0000, 0.0000]]}


Entry 28:
{"formula": "CuHg2As", "functional": "SCAN", "state": "PBEsol geometry", "delta_e_f_ev_per_fu": 1.51, "space_group": "No. 119", "e_tot_ev_per_atom": -42.55, "cell": [[-2.3030, 3.3070, -1.0751], [-2.7119, -2.5152, -1.9276], [0.2881, -0.7684, 5.1097]], "species": ["As", "Hg", "Hg", "Cu"], "frac_coords": [[0.5000, 0.5000, 0.0000], [0.7500, 0.2500, 0.5000], [0.0000, 0.0000, 0.0000], [0.2500, 0.7500, 0.5000]]}


Entry 29:
{"formula": "SrYSc2", "functional": "SCAN", "state": "PBEsol geometry", "de_polymorph_mev_per_atom": 118, "delta_e_f_ev_per_fu": 1.49, "space_group": "No. 166", "e_tot_ev_per_atom": -19.28, "cell": [[-2.0912, -0.7573, 2.5790], [1.2457, -1.3797, 2.8534], [1.3795, 10.2008, 6.3624]], "species": ["Sr", "Sc", "Sc", "Y"], "frac_coords": [[0.0000, 0.0000, 0.0000], [0.0924, 0.0924, 0.7227], [0.9076, 0.9076, 0.2773], [0.5000, 0.5000, 0.5000]]}